An optimized crystal structure of CrGaBO4. Source: Alexandria, functional PBE+U.

Output
Its total energy is -7.1779 eV per atom.

Lattice parameters (Å, degrees): 5.460 9.060 5.722 90.00 90.00 90.00
Space group Cmcm (No. 63)
Asymmetric unit:
Cr1 0.000 0.000 0.000
Ga1 0.000 0.356 0.250
B1 0.000 0.361 0.750
O1 0.000 0.271 0.542
O2 0.221 0.475 0.750

---

An optimized crystal structure of CrGa2BO6. Source: Alexandria, functional PBE+U.

Output
For the density of states at the Fermi level, the calculation gives 0.000 states/eV/cell. Its total energy is -6.8772 eV per atom.

Lattice parameters (Å, degrees): 8.937 10.170 5.058 90.00 112.60 90.00
Space group C2/c (No. 15)
Asymmetric unit:
Cr1 0.000 0.092 0.250
Ga1 0.132 0.406 0.146
B1 0.000 0.168 0.750
O1 0.088 0.229 0.029
O2 0.114 0.075 0.681
O3 0.124 0.424 0.506